No. 1
Material: Pr6Dy3Ho2Th
Method: DFT, GGA-PBE
State: optimized geometry

abc: 6.300 10.904 11.976
angles: 90.00 100.11 90.00
Space group C2/m (No. 12)
Symmetry-distinct sites (fractional):
Pr1 0.246 0.000 0.251
Pr2 0.249 0.165 0.749
Dy1 0.000 0.167 0.000
Dy2 0.000 0.500 0.000
Ho1 0.000 0.333 0.500
Th1 0.000 0.000 0.500

Output
Density ... 7.8 g cm⁻³
Uncorrected energy ... -4.89 eV/atom
ΔE_f ... 3 kJ per mole of atoms

=====

No. 2
Material: TbScPa
Method: DFT, GGA-PBE
State: optimized geometry

abc: 3.305 3.305 14.757
angles: 90.00 90.00 90.00
Space group I4mm (No. 107)
Symmetry-distinct sites (fractional):
Tb1 0.000 0.000 0.000
Sc1 0.000 0.000 0.320
Pa1 0.000 0.000 0.666

Output
Density ... 9.0 g cm⁻³
Uncorrected energy ... -6.68 eV/atom
ΔE_f ... 13 kJ per mole of atoms

=====

No. 3
Material: Sr2CdP
Method: DFT, GGA-PBE
State: optimized geometry

abc: 3.970 3.970 8.522
angles: 90.00 90.00 90.00
Space group P4mm (No. 99)
Symmetry-distinct sites (fractional):
Sr1 0.000 0.000 0.000
Sr2 0.500 0.500 0.441
Cd1 0.000 0.000 0.643
P1 0.500 0.500 0.810

Output
Density ... 3.9 g cm⁻³
Uncorrected energy ... -2.69 eV/atom
ΔE_f ... -26 kJ per mole of atoms

=====

No. 4
Material: Pu5ThRh5
Method: DFT, GGA-PBE
State: optimized geometry

abc: 12.892 5.564 7.674
angles: 90.00 106.36 90.00
Space group C2/m (No. 12)
Symmetry-distinct sites (fractional):
Pu1 0.000 0.000 0.000
Pu2 0.150 0.500 0.836
Pu3 0.174 0.500 0.337
Th1 0.000 0.000 0.500
Rh1 0.000 0.500 0.500
Rh2 0.168 0.000 0.310
Rh3 0.169 0.000 0.870

Output
Density ... 12.4 g cm⁻³
Uncorrected energy ... -10.88 eV/atom
ΔE_f ... -34 kJ per mole of atoms

=====

No. 5
Material: ScGeN3
Method: DFT, GGA-PBE
State: optimized geometry

abc: 3.768 3.768 3.768
angles: 90.00 90.00 90.00
Space group Pm-3m (No. 221)
Symmetry-distinct sites (fractional):
Sc1 0.000 0.000 0.000
Ge1 0.500 0.500 0.500
N1 0.000 0.500 0.500

Output
ΔE_f (raw) ... 1.82 eV per formula unit
Density ... 5.0 g cm⁻³
Uncorrected energy ... -6.82 eV/atom

=====

No. 6
Material: SrCoPb
Method: DFT, GGA-PBE
State: optimized geometry

abc: 4.5776 4.5776 4.4562
angles: 90.00 90.00 120.00
Space group P-6m2 (No. 187)
Symmetry-distinct sites (fractional):
Sr1 0.0000 0.0000 0.0000
Co1 0.6667 0.3333 0.5000
Pb1 0.3333 0.6667 0.5000

Output
Density ... 7.3 g cm⁻³
Uncorrected energy ... -4.10 eV/atom
ΔE_f ... 6 kJ per mole of atoms

=====

No. 7
Material: Pm3Nd5Sn2
Method: DFT, GGA-PBE
State: optimized geometry

abc: 13.105 15.794 6.589
angles: 90.00 90.00 90.00
Space group Ibam (No. 72)
Symmetry-distinct sites (fractional):
Pm1 0.000 0.000 0.250
Pm2 0.128 0.215 0.000
Nd1 0.000 0.500 0.250
Nd2 0.092 0.336 0.500
Nd3 0.249 0.500 0.250
Sn1 0.133 0.147 0.500

Output
Density ... 6.8 g cm⁻³
Uncorrected energy ... -4.68 eV/atom
ΔE_f ... -7 kJ per mole of atoms

=====

No. 8
Material: LiZrAg2Te
Method: DFT, GGA-PBE
State: optimized geometry

abc: 5.240 5.240 5.386
angles: 90.00 90.00 90.00
Space group P4/mmm (No. 123)
Symmetry-distinct sites (fractional):
Li1 0.000 0.000 0.000
Zr1 0.500 0.500 0.000
Ag1 0.000 0.500 0.500
Te1 0.500 0.500 0.500

Output
ΔE_f (raw) ... 2.68 eV per formula unit
Density ... 5.0 g cm⁻³
Uncorrected energy ... -3.33 eV/atom

=====

No. 9
Material: PmDy4Pd2
Method: DFT, GGA-PBE
State: optimized geometry

abc: 3.9556 3.9556 45.4032
angles: 90.00 90.00 120.00
Space group R-3m (No. 166, hexagonal axes)
Symmetry-distinct sites (fractional):
Pm1 0.0000 0.0000 0.0000
Dy1 0.0000 0.0000 0.1978
Dy2 0.0000 0.0000 0.3963
Pd1 0.0000 0.0000 0.0992

Output
Density ... 8.2 g cm⁻³
Uncorrected energy ... -5.16 eV/atom
ΔE_f ... -35 kJ per mole of atoms

=====

No. 10
Material: Sc2BPd8
Method: DFT, GGA-PBE
State: optimized geometry

abc: 4.589 5.661 13.108
angles: 90.00 90.00 90.00
Space group Immm (No. 71)
Symmetry-distinct sites (fractional):
Sc1 0.000 0.000 0.188
B1 0.000 0.000 0.500
Pd1 0.000 0.250 0.380
Pd2 0.000 0.253 0.000
Pd3 0.000 0.500 0.189

Output
Density ... 9.3 g cm⁻³
Uncorrected energy ... -6.11 eV/atom
ΔE_f ... -56 kJ per mole of atoms

=====

No. 11
Material: BaLiF
Method: DFT, GGA-PBE
State: optimized geometry

abc: 4.182 4.182 19.870
angles: 90.00 90.00 90.00
Space group I4/mmm (No. 139)
Symmetry-distinct sites (fractional):
Ba1 0.000 0.000 0.088
Li1 0.000 0.000 0.272
F1 0.000 0.500 0.000

Output
ΔE_f (raw) ... -5.20 eV per formula unit
Density ... 3.1 g cm⁻³
Uncorrected energy ... -3.64 eV/atom

=====

No. 12
Material: AcAlAg2Se4
Method: DFT, GGA-PBE
State: optimized geometry

abc: 11.242 11.912 8.068
angles: 90.00 130.37 90.00
Space group C2/c (No. 15)
Symmetry-distinct sites (fractional):
Ac1 0.250 0.250 0.000
Al1 0.000 0.000 0.000
Ag1 0.000 0.500 0.000
Ag2 0.250 0.250 0.500
Se1 0.014 0.215 0.498
Se2 0.229 0.009 0.415

Output
ΔE_f (raw) ... -6.13 eV per formula unit
Density ... 6.3 g cm⁻³
Uncorrected energy ... -4.20 eV/atom

=====

No. 13
Material: KNa2VSe4
Method: DFT, GGA-PBE
State: optimized geometry

abc: 7.530 7.530 8.578
angles: 90.00 90.00 90.00
Space group I-42m (No. 121)
Symmetry-distinct sites (fractional):
K1 0.000 0.000 0.000
Na1 0.000 0.500 0.250
V1 0.000 0.000 0.500
Se1 0.179 0.179 0.651

Output
ΔE_f (raw) ... -7.55 eV per formula unit
Density ... 3.1 g cm⁻³
Uncorrected energy ... -4.29 eV/atom

=====

No. 14
Material: AcGa2Pb
Method: DFT, GGA-PBE
State: optimized geometry

abc: 3.932 3.932 7.067
angles: 90.00 90.00 90.00
Space group P4/mmm (No. 123)
Symmetry-distinct sites (fractional):
Ac1 0.000 0.000 0.000
Ga1 0.500 0.500 0.299
Pb1 0.000 0.000 0.500

Output
Density ... 8.7 g cm⁻³
Uncorrected energy ... -3.71 eV/atom
ΔE_f ... -24 kJ per mole of atoms

=====

No. 15
Material: NiOsRu2
Method: DFT, GGA-PBE
State: optimized geometry

abc: 2.693 2.693 7.401
angles: 90.00 90.00 90.00
Space group P4/mmm (No. 123)
Symmetry-distinct sites (fractional):
Ni1 0.000 0.000 0.000
Os1 0.000 0.000 0.500
Ru1 0.500 0.500 0.242

Output
Density ... 14.0 g cm⁻³
Uncorrected energy ... -8.74 eV/atom
ΔE_f ... 15 kJ per mole of atoms

=====

No. 16
Material: LaTb3Th4S8
Method: DFT, GGA-PBE
State: optimized geometry

abc: 7.9185 7.9185 20.1844
angles: 90.00 90.00 120.00
Space group R-3m (No. 166, hexagonal axes)
Symmetry-distinct sites (fractional):
La1 0.0000 0.0000 0.0000
Tb1 0.0000 0.5000 0.0000
Th1 0.0000 0.0000 0.5000
Th2 0.0000 0.5000 0.5000
S1 0.0000 0.0000 0.2544
S2 0.0081 0.5040 0.2528

Output
ΔE_f (raw) ... -30.96 eV per formula unit
Density ... 8.2 g cm⁻³
Uncorrected energy ... -7.03 eV/atom

=====

No. 17
Material: LiGe2As3
Method: DFT, GGA-PBE
State: optimized geometry

abc: 6.989 12.403 6.918
angles: 90.00 108.11 90.00
Space group Cc (No. 9)
Symmetry-distinct sites (fractional):
Li1 0.000 0.073 0.000
Ge1 0.472 0.086 0.504
Ge2 0.497 0.242 0.007
As1 0.110 0.098 0.372
As2 0.115 0.249 0.890
As3 0.120 0.424 0.383

Output
Density ... 4.4 g cm⁻³
Uncorrected energy ... -4.34 eV/atom
ΔE_f ... -15 kJ per mole of atoms

=====

No. 18
Material: BaNiN
Method: DFT, GGA-PBE
State: optimized geometry

abc: 4.125 4.125 3.524
angles: 90.00 90.00 90.00
Space group P4/mmm (No. 123)
Symmetry-distinct sites (fractional):
Ba1 0.000 0.000 0.000
Ni1 0.500 0.500 0.500
N1 0.500 0.500 0.000

Output
ΔE_f (raw) ... -1.38 eV per formula unit
Density ... 5.8 g cm⁻³
Uncorrected energy ... -5.80 eV/atom

=====

No. 19
Material: TaIn2Os
Method: DFT, GGA-PBE
State: optimized geometry

abc: 4.746 4.746 3.255
angles: 90.00 90.00 90.00
Space group P4/mmm (No. 123)
Symmetry-distinct sites (fractional):
Ta1 0.000 0.000 0.000
In1 0.000 0.500 0.500
Os1 0.500 0.500 0.000

Output
Density ... 13.6 g cm⁻³
Uncorrected energy ... -6.54 eV/atom
ΔE_f ... 58 kJ per mole of atoms

=====

No. 20
Material: NiSnP2Cl
Method: DFT, GGA-PBE
State: optimized geometry

abc: 4.253 4.253 5.991
angles: 90.00 90.00 90.00
Space group P4/mmm (No. 123)
Symmetry-distinct sites (fractional):
Ni1 0.000 0.000 0.000
Sn1 0.500 0.500 0.500
P1 0.000 0.500 0.000
Cl1 0.000 0.000 0.500

Output
ΔE_f (raw) ... 1.11 eV per formula unit
Density ... 4.2 g cm⁻³
Uncorrected energy ... -4.27 eV/atom

=====

No. 21
Material: Tl2OsAu
Method: DFT, GGA-PBE
State: optimized geometry

abc: 4.286 4.286 19.266
angles: 90.00 90.00 90.00
Space group I-42d (No. 122)
Symmetry-distinct sites (fractional):
Tl1 0.235 0.250 0.125
Os1 0.000 0.000 0.000
Au1 0.000 0.000 0.500

Output
Density ... 14.9 g cm⁻³
Uncorrected energy ... -3.84 eV/atom
ΔE_f ... 94 kJ per mole of atoms

=====

No. 22
Material: Ba5Ag2Bi
Method: DFT, GGA-PBE
State: optimized geometry

abc: 9.219 9.219 15.898
angles: 90.00 90.00 90.00
Space group I4/mcm (No. 140)
Symmetry-distinct sites (fractional):
Ba1 0.000 0.000 0.000
Ba2 0.168 0.332 0.143
Ag1 0.120 0.380 0.500
Bi1 0.000 0.000 0.250

Output
Density ... 5.5 g cm⁻³
Uncorrected energy ... -2.81 eV/atom
ΔE_f ... -40 kJ per mole of atoms

=====

No. 23
Material: ZrSc2Mo
Method: DFT, GGA-PBE
State: optimized geometry

abc: 5.854 9.602 2.960
angles: 90.00 99.74 90.00
Space group C2/m (No. 12)
Symmetry-distinct sites (fractional):
Zr1 0.000 0.000 0.000
Sc1 0.250 0.250 0.500
Mo1 0.000 0.500 0.000

Output
Density ... 5.6 g cm⁻³
Uncorrected energy ... -7.82 eV/atom
ΔE_f ... 18 kJ per mole of atoms

=====

No. 24
Material: KPa6S8
Method: DFT, GGA-PBE
State: optimized geometry

abc: 10.4561 10.4561 13.4387
angles: 90.00 90.00 120.00
Space group R-3 (No. 148, hexagonal axes)
Symmetry-distinct sites (fractional):
K1 0.0000 0.0000 0.0000
Pa1 0.0166 0.8142 0.4194
S1 0.0000 0.0000 0.2842
S2 0.0073 0.6380 0.2682

Output
ΔE_f (raw) ... -17.56 eV per formula unit
Density ... 6.6 g cm⁻³
Uncorrected energy ... -7.24 eV/atom